1.
Crystalline SrSiPb at its relaxed geometry, computed with PBE.

Output
Crystal system: monoclinic
E above lowest polymorph in meV/atom: 253.2
Energy relative to the elements, uncorrected in eV per formula unit: -0.231
E in eV per atom: -3.681

Cell lengths 12.0827, 3.8449, 3.8449 Å; angles 90.00, 108.35, 90.00 degrees
Space group Cm (No. 8)
One atom of each set of equivalent atoms:
Sr1 0.0000 0.0000 0.0000
Si1 0.1891 0.5000 0.6888
Pb1 0.2927 0.0000 0.2934


2.
Crystalline BiPS2Cl at its relaxed geometry, computed with PBE.

Output
Crystal system: tetragonal
E above lowest polymorph in meV/atom: 845.6
Energy relative to the elements, uncorrected in eV per formula unit: 4.864
E in eV per atom: -2.906

Cell lengths 5.2007, 5.2007, 5.6436 Å; angles 90.00, 90.00, 90.00 degrees
Space group P4/mmm (No. 123)
One atom of each set of equivalent atoms:
Bi1 0.0000 0.0000 0.0000
P1 0.0000 0.0000 0.5000
S1 0.0000 0.5000 0.0000
Cl1 0.5000 0.5000 0.5000


3.
Crystalline RbYMg2B at its relaxed geometry, computed with PBE.

Output
Crystal system: tetragonal
E in eV per atom: -1.841

Cell lengths 5.6119, 5.6119, 4.8028 Å; angles 90.00, 90.00, 90.00 degrees
Space group P4/mmm (No. 123)
One atom of each set of equivalent atoms:
Rb1 0.0000 0.0000 0.0000
Y1 0.5000 0.5000 0.5000
Mg1 0.0000 0.5000 0.0000
B1 0.0000 0.0000 0.5000


4.
Crystalline TeHI2 at its relaxed geometry, computed with PBE.

Output
Crystal system: triclinic
E above lowest polymorph in meV/atom: 0.0
E in eV per atom: -2.377

Cell lengths 5.7218, 8.1370, 8.4630 Å; angles 63.35, 79.48, 80.65 degrees
Space group P-1 (No. 2)
One atom of each set of equivalent atoms:
Te1 0.0510 0.3944 0.4031
H1 0.0669 0.9139 0.3367
I1 0.1971 0.0928 0.1702
I2 0.4305 0.5378 0.7174


5.
Crystalline SrPmCl5 at its relaxed geometry, computed with PBE.

Output
Crystal system: monoclinic
E above lowest polymorph in meV/atom: 6.1
Energy relative to the elements, uncorrected in eV per formula unit: -16.201
E in eV per atom: -4.552

Cell lengths 12.1823, 8.7202, 10.3978 Å; angles 90.00, 115.28, 90.00 degrees
Space group C2/c (No. 15)
One atom of each set of equivalent atoms:
Sr1 0.0000 0.0431 0.2500
Pm1 0.0000 0.5000 0.0000
Cl1 0.0000 0.3940 0.2500
Cl2 0.0202 0.1919 0.9668
Cl3 0.2412 0.4671 0.6298


6.
Crystalline CaDyTh at its relaxed geometry, computed with PBE.

Output
Crystal system: trigonal
E above lowest polymorph in meV/atom: 102.7
E in eV per atom: -4.523

Cell lengths 3.5880, 3.5880, 56.4061 Å; angles 90.00, 90.00, 120.00 degrees
Space group R-3m (No. 166, hexagonal axes)
One atom of each set of equivalent atoms:
Ca1 0.0000 0.0000 0.1952
Dy1 0.0000 0.0000 0.2562
Th1 0.0000 0.0000 0.3598